Record 1
Re2SiAs (PBE-GGA, optimized geometry); space group = No. 99; formation energy without anion corrections = 0.063 eV/atom; total DFT energy (no corrections) = -8.679 eV per atom; theoretical density = 13.611 Mg/m³
1.0
3.181 0.000 0.000
0.000 3.181 0.000
0.000 0.000 5.733
Re As Si
2 1 1
Cartesian
0.000 0.000 5.489
1.590 1.590 1.744
1.590 1.590 4.332
0.000 0.000 2.768

Record 2
ReSi2As (PBE-GGA, optimized geometry); space group = No. 47; formation energy without anion corrections = 0.558 eV/atom; total DFT energy (no corrections) = -6.428 eV per atom; theoretical density = 8.679 Mg/m³
1.0
3.117 0.000 0.000
0.000 4.819 0.000
0.000 0.000 4.042
Si Re As
2 1 1
Cartesian
1.558 2.410 0.000
0.000 0.000 0.000
0.000 2.410 2.021
1.558 0.000 2.021

Record 3
Re2SiAs (PBE-GGA, optimized geometry); space group = No. 119; formation energy without anion corrections = 0.423 eV/atom; total DFT energy (no corrections) = -8.319 eV per atom; theoretical density = 13.287 Mg/m³
1.0
-4.013 -1.826 1.536
-2.263 -1.428 -3.827
4.373 -0.908 1.360
Re Si As
2 1 1
Cartesian
-1.389 -2.180 0.876
0.000 0.000 0.000
-3.138 -1.627 -1.145
-0.514 -1.981 -1.806

Record 4
ReSiAs (PBE-GGA, optimized geometry); space group = No. 216; formation energy without anion corrections = 0.361 eV/atom; total DFT energy (no corrections) = -7.146 eV per atom; theoretical density = 9.238 Mg/m³
1.0
4.189 0.000 0.000
2.095 3.628 0.000
2.095 1.209 3.420
Re Si As
1 1 1
Cartesian
6.284 3.628 2.565
0.000 0.000 0.000
4.189 2.419 1.710

Record 5
Re2SiAs (PBE-GGA, optimized geometry); space group = No. 71; formation energy without anion corrections = 0.430 eV/atom; total DFT energy (no corrections) = -8.312 eV per atom; theoretical density = 13.025 Mg/m³
1.0
-3.140 -3.918 -0.475
-0.644 -2.356 4.413
-0.646 4.313 -2.534
Re Si As
2 1 1
Cartesian
-3.702 -6.138 3.852
-1.974 -3.273 2.054
-2.839 -1.371 -0.520
-1.591 -0.590 1.924

Record 6
ReSiAs (PBE-GGA, optimized geometry); space group = No. 187; formation energy without anion corrections = 0.384 eV/atom; total DFT energy (no corrections) = -7.122 eV per atom; theoretical density = 10.117 Mg/m³
1.0
4.625 0.000 0.000
-2.313 4.006 0.000
0.000 0.000 2.562
Re As Si
1 1 1
Cartesian
0.000 2.670 0.854
0.000 0.000 0.852
2.313 1.335 0.856

Copy entry 5 word for word.
Re2SiAs (PBE-GGA, optimized geometry); space group = No. 71; formation energy without anion corrections = 0.430 eV/atom; total DFT energy (no corrections) = -8.312 eV per atom; theoretical density = 13.025 Mg/m³
1.0
-3.140 -3.918 -0.475
-0.644 -2.356 4.413
-0.646 4.313 -2.534
Re Si As
2 1 1
Cartesian
-3.702 -6.138 3.852
-1.974 -3.273 2.054
-2.839 -1.371 -0.520
-1.591 -0.590 1.924